No. 1
# BaCuRe2

A geometry-optimized BaCuRe2 structure (GGA-PBE, Alexandria).

Polymorph energy (0 for the lowest one) ... 1.74 eV/f.u.
Total magnetic moment ... 0.00 μB/f.u.
ΔH_f (0 K) ... 0.88 eV/atom

```
4
Lattice="4.584 0.000 0.000 0.000 3.862 0.014 0.000 1.405 5.495" Properties=species:S:1:pos:R:3 pbc="T T T"
Re 0.000 2.982 3.437
Ba 2.292 1.317 1.377
Cu 2.292 3.950 4.132
Re 0.000 4.918 4.826
```

***

No. 2
# Ba4CuRe

A geometry-optimized Ba4CuRe structure (GGA-PBE, Alexandria).

Total magnetic moment ... 2.25 μB/f.u.
ΔH_f (0 K) ... 1.46 eV/atom

```
6
Lattice="-6.785 -0.159 1.491 -3.726 5.864 -0.137 -4.687 1.021 -5.027" Properties=species:S:1:pos:R:3 pbc="T T T"
Re 0.000 0.000 0.000
Cu -11.399 5.044 -2.755
Ba -9.099 2.438 -0.626
Ba -7.562 5.463 -1.444
Ba -8.045 3.031 -3.900
Ba -5.691 2.518 -1.375
```

***

No. 3
# BaCuRe2

A geometry-optimized BaCuRe2 structure (GGA-PBE, Alexandria).

Polymorph energy (0 for the lowest one) ... 3.20 eV/f.u.
Total magnetic moment ... 0.00 μB/f.u.
ΔH_f (0 K) ... 1.24 eV/atom

```
4
Lattice="4.532 0.005 0.016 -2.204 5.689 -0.021 0.125 0.874 3.018" Properties=species:S:1:pos:R:3 pbc="T T T"
Re 0.000 0.000 0.000
Ba -1.039 3.282 1.498
Cu 1.164 2.847 -0.003
Re 2.328 0.439 1.517
```

***

No. 4
# BaCu2Re

A geometry-optimized BaCu2Re structure (GGA-PBE, Alexandria).

Polymorph energy (0 for the lowest one) ... 2.42 eV/f.u.
Total magnetic moment ... 2.62 μB/f.u.
ΔH_f (0 K) ... 1.09 eV/atom

```
4
Lattice="0.722 -0.726 4.781 -2.565 2.566 3.277 -3.439 -2.208 2.684" Properties=species:S:1:pos:R:3 pbc="T T T"
Cu -3.961 -0.276 8.057
Ba 0.000 0.000 0.000
Re -2.641 -0.184 5.371
Cu -1.320 -0.092 2.686
```

***

No. 5
# BaCuRe2

A geometry-optimized BaCuRe2 structure (GGA-PBE, Alexandria).

Polymorph energy (0 for the lowest one) ... 0.00 eV/f.u.
Total magnetic moment ... 0.00 μB/f.u.
ΔH_f (0 K) ... 0.44 eV/atom

```
4
Lattice="4.324 0.002 -0.017 2.160 3.746 -0.017 2.191 1.266 5.978" Properties=species:S:1:pos:R:3 pbc="T T T"
Re 6.486 3.750 0.132
Cu 6.513 3.765 5.396
Re 2.164 1.251 0.428
Ba 4.334 2.505 2.927
```

***

No. 6
# BaCuRe2

A geometry-optimized BaCuRe2 structure (GGA-PBE, Alexandria).

Polymorph energy (0 for the lowest one) ... 3.95 eV/f.u.
Total magnetic moment ... 0.00 μB/f.u.
ΔH_f (0 K) ... 1.43 eV/atom

```
4
Lattice="6.087 0.001 0.000 3.624 4.890 0.000 -4.855 -2.445 2.737" Properties=species:S:1:pos:R:3 pbc="T T T"
Ba 1.812 2.445 1.368
Re 0.000 0.000 0.000
Cu 3.043 0.001 1.368
Re 4.855 2.445 0.000
```